Here is a relaxed Cs2KMoBr6 crystal from the Alexandria database. Energies are from PBE.

electronic total energy = -3.659 eV/atom
symmetry = Fm-3m (225)

a = 8.172 Å, b = 8.172 Å, c = 8.172 Å
α = 60.00°, β = 60.00°, γ = 60.00°
Sites, in units of the cell vectors:
1 Mo 0.000 0.000 0.000
2 Cs 0.250 0.250 0.250
3 Br 0.226 0.226 0.774
4 Br 0.774 0.774 0.226
5 Br 0.774 0.226 0.774
6 Br 0.774 0.226 0.226
7 Br 0.226 0.774 0.226
8 Br 0.226 0.774 0.774
9 Cs 0.750 0.750 0.750
10 K 0.500 0.500 0.500

***

Here is a relaxed CsKNa2Br4 crystal from the Alexandria database. Energies are from PBE.

electronic total energy = -3.032 eV/atom
symmetry = P2/m (10)
D(E_F) = 0.0 states/eV/cell

a = 4.590 Å, b = 8.126 Å, c = 7.980 Å
α = 70.71°, β = 90.00°, γ = 90.00°
Sites, in units of the cell vectors:
1 Na 0.500 0.000 0.500
2 Cs 0.500 0.500 0.000
3 Br 0.500 0.783 0.250
4 Br 0.000 0.794 0.723
5 Br 0.000 0.207 0.277
6 Na 0.000 0.000 0.000
7 K 0.000 0.500 0.500
8 Br 0.500 0.217 0.750

***

Here is a relaxed Cs2KNaBr crystal from the Alexandria database. Energies are from PBE.

symmetry = P4/mmm (123)
D(E_F) = 3.0 states/eV/cell
offset from the most stable computed form = 0.00 kJ/mol of atoms

a = 7.222 Å, b = 7.222 Å, c = 6.537 Å
α = 90.00°, β = 90.00°, γ = 90.00°
Sites, in units of the cell vectors:
1 Cs 0.000 0.500 0.000
2 Na 0.500 0.500 0.500
3 Cs 0.500 0.000 0.000
4 Br 0.000 0.000 0.000
5 K 0.000 0.000 0.500

***

Here is a relaxed Cs4K3NaBr8 crystal from the Alexandria database. Energies are from PBE.

electronic total energy = -3.056 eV/atom
symmetry = R-3m (166)
D(E_F) = 0.0 states/eV/cell

a = 9.811 Å, b = 9.870 Å, c = 9.811 Å
α = 119.83°, β = 120.00°, γ = 90.00°
Sites, in units of the cell vectors:
1 Br 0.750 0.717 0.983
2 Cs 0.000 0.000 0.000
3 Br 0.250 0.283 0.017
4 Br 0.259 0.277 0.518
5 Cs 0.500 0.000 0.500
6 K 0.500 0.500 0.000
7 Br 0.233 0.717 0.466
8 K 0.000 0.500 0.500
9 K 0.500 0.500 0.500
10 Br 0.767 0.283 0.534
11 Br 0.767 0.283 0.017
12 Na 0.000 0.500 0.000
13 Cs 0.000 0.000 0.500
14 Br 0.233 0.717 0.983
15 Br 0.741 0.723 0.482
16 Cs 0.500 0.000 0.000

***

Number 1: total magnetic moment 0.300 μB per atom. Number 2: total magnetic moment 0.000 μB per atom. Number 3: total magnetic moment 0.000 μB per atom. Number 4: total magnetic moment 0.000 μB per atom.